Compound: LiOs3
Source: Alexandria via LeMat-Bulk
Functional: PBE-GGA
Structure: relaxed

Geometry as POSCAR:
```
LiOs3
1.0
0.000 3.010 3.010
3.010 0.000 3.010
3.010 3.010 0.000
Li Os
1 3
direct
0.000 0.000 0.000
0.250 0.250 0.250
0.500 0.500 0.500
0.750 0.750 0.750
```

Calculated values
ΔE_f: 0.354 eV/atom
Magnetization: 0.0 μB/cell
Calculated density: 17.58 Mg/m³